1.
VASP calculation (GGA-PBE) on a geometry-optimized SrPa2Si2N6 structure.

a = 6.115 Å, b = 6.115 Å, c = 5.922 Å
α = 90.00°, β = 90.00°, γ = 120.00°
Fractional positions:
Sr1 0.000 0.000 0.000
Pa1 0.333 0.667 0.875
Pa2 0.667 0.333 0.125
Si1 0.333 0.667 0.340
Si2 0.667 0.333 0.660
N1 0.057 0.427 0.206
N2 0.370 0.943 0.206
N3 0.427 0.370 0.794
N4 0.573 0.630 0.206
N5 0.630 0.057 0.794
N6 0.943 0.573 0.794

The crystal system is trigonal.

---

2.
VASP calculation (GGA-PBE) on a geometry-optimized SrPa2SiN5 structure.

a = 6.625 Å, b = 6.625 Å, c = 5.591 Å
α = 90.00°, β = 90.00°, γ = 90.00°
Fractional positions:
Sr1 0.000 0.000 0.000
Sr2 0.500 0.500 0.000
Pa1 0.181 0.319 0.500
Pa2 0.319 0.819 0.500
Pa3 0.681 0.181 0.500
Pa4 0.819 0.681 0.500
Si1 0.000 0.500 0.000
Si2 0.500 0.000 0.000
N1 0.000 0.000 0.500
N2 0.135 0.635 0.236
N3 0.135 0.635 0.764
N4 0.365 0.135 0.236
N5 0.365 0.135 0.764
N6 0.500 0.500 0.500
N7 0.635 0.865 0.236
N8 0.635 0.865 0.764
N9 0.865 0.365 0.236
N10 0.865 0.365 0.764

The crystal system is tetragonal.

---

| no. | spin magnetization (μB per formula unit) | density (g/cm³) | DFT total energy (eV/atom) |
| --- | --- | --- | --- |
| 1 | 0.0 | 6.0 | -8.2633 |
| 2 | 0.0 | 8.8 | -8.7543 |